Material: ErSi2Ir4
Method: DFT, PBE-GGA
State: optimized geometry

Values from the calculation:
total magnetic moment: 0.000 μB per formula unit
E above lowest polymorph: 0.0 meV/atom
uncorrected energy: -56.1 eV per formula unit
formation energy without anion corrections: -0.744 eV per atom
calculated volume: 108 Å³/f.u.
N(E_F): 11.06 states/eV/cell

abc: 16.5922 3.9916 6.5325
angles: 90.00 90.00 90.00
Last column: nearest neighbours and their distance in Å.
Space group Pnma (No. 62)
Symmetry-distinct sites (fractional):
Er1 0.1370 0.2500 0.0229 (multiplicity 4)  9 Ir 2.88-3.21, 4 Si 2.97-3.01
Si1 0.0426 0.7500 0.2598 (multiplicity 4)  4 Ir 2.41-2.49
Si2 0.2274 0.2500 0.5316 (multiplicity 4)  7 Ir 2.37-2.51
Ir1 0.0284 0.7500 0.8397 (multiplicity 4)  2 Si 2.41
Ir2 0.0832 0.2500 0.5338 (multiplicity 4)  2 Si 2.39-2.49
Ir3 0.1857 0.7500 0.3244 (multiplicity 4)  4 Si 2.39-2.51
Ir4 0.1906 0.7500 0.7350 (multiplicity 4)  3 Si 2.37-2.47

=====

Material: ErSi2Ir3
Method: DFT, PBE-GGA
State: optimized geometry

Values from the calculation:
total magnetic moment: 0.000 μB per formula unit
uncorrected energy: -47.5 eV per formula unit
formation energy without anion corrections: -0.915 eV per atom
calculated volume: 97 Å³/f.u.
N(E_F): 15.63 states/eV/cell

abc: 15.9028 3.9720 9.7310
angles: 90.00 108.40 90.00
Last column: nearest neighbours and their distance in Å.
Space group C2/m (No. 12)
Symmetry-distinct sites (fractional):
Er1 0.0000 0.0000 0.0000 (multiplicity 2)  6 Si 2.98-3.11, 6 Ir 3.01-3.05
Er2 0.1585 0.0000 0.6992 (multiplicity 4)  6 Si 3.04-3.10, 8 Ir 3.07-3.32
Si1 0.0368 0.5000 0.7800 (multiplicity 4)  5 Ir 2.35-2.60
Si2 0.1372 0.5000 0.4483 (multiplicity 4)  7 Ir 2.32-2.57
Si3 0.1966 0.0000 0.1298 (multiplicity 4)  6 Ir 2.41-2.56
Ir1 0.0000 0.5000 0.5000 (multiplicity 2)  4 Si 2.39-2.60
Ir2 0.0392 0.0000 0.3275 (multiplicity 4)  4 Si 2.39-2.57
Ir3 0.1218 0.5000 0.1974 (multiplicity 4)  4 Si 2.38-2.60
Ir4 0.1774 0.5000 0.9564 (multiplicity 4)  4 Si 2.35-2.56
Ir5 0.2198 0.0000 0.3919 (multiplicity 4)  4 Si 2.32-2.53

=====

Material: Er3Si2Ir5
Method: DFT, PBE-GGA
State: optimized geometry

Values from the calculation:
total magnetic moment: 0.000 μB per formula unit
uncorrected energy: -78.3 eV per formula unit
formation energy without anion corrections: -0.942 eV per atom
calculated volume: 174 Å³/f.u.
N(E_F): 9.06 states/eV/cell

abc: 9.8474 9.8474 3.5842
angles: 90.00 90.00 90.00
Last column: nearest neighbours and their distance in Å.
Space group P4/mbm (No. 127)
Symmetry-distinct sites (fractional):
Er1 0.0000 0.0000 0.0000 (multiplicity 2)  8 Ir 2.89
Er2 0.1743 0.3257 0.0000 (multiplicity 4)  3 Si 2.81-2.98, 6 Ir 3.02-3.13
Si1 0.1237 0.6237 0.0000 (multiplicity 4)  6 Ir 2.42-2.49
Ir1 0.0000 0.5000 0.5000 (multiplicity 2)  4 Si 2.49
Ir2 0.0694 0.7800 0.5000 (multiplicity 8)  2 Si 2.42

=====

Material: Er3Si12Ir5
Method: DFT, PBE-GGA
State: optimized geometry

Values from the calculation:
total magnetic moment: 0.000 μB per formula unit
uncorrected energy: -125.1 eV per formula unit
formation energy without anion corrections: -0.100 eV per atom
calculated volume: 422 Å³/f.u.
N(E_F): 125.36 states/eV/cell

abc: 15.0033 15.0033 15.0033
angles: 90.00 90.00 90.00
Last column: nearest neighbours and their distance in Å.
Space group Ia-3d (No. 230)
Symmetry-distinct sites (fractional):
Er1 0.0000 0.2500 0.1250 (multiplicity 24)  4 Si 2.88
Si1 0.0644 0.0690 0.6282 (multiplicity 96)  2 Ir 2.29-2.39, 1 Si 2.48
Ir1 0.0000 0.0000 0.0000 (multiplicity 16)  6 Si 2.39
Ir2 0.0000 0.2500 0.3750 (multiplicity 24)  4 Si 2.29

=====

Material: ErSi3Ir
Method: DFT, PBE-GGA
State: optimized geometry

Values from the calculation:
total magnetic moment: 0.000 μB per formula unit
uncorrected energy: -32.8 eV per formula unit
formation energy without anion corrections: -0.619 eV per atom
calculated volume: 88 Å³/f.u.
N(E_F): 4.04 states/eV/cell

abc: 5.5738 5.5400 5.8244
angles: 90.00 103.19 90.00
Last column: nearest neighbours and their distance in Å.
Space group P2_1/m (No. 11)
Symmetry-distinct sites (fractional):
Er1 0.0999 0.2500 0.3302 (multiplicity 2)  8 Si 2.85-3.12, 4 Ir 2.97-3.14
Si1 0.0304 0.2500 0.8293 (multiplicity 2)  1 Ir 2.44, 2 Si 2.48
Si2 0.4030 0.0220 0.7955 (multiplicity 4)  3 Si 2.39-2.53, 2 Ir 2.43-2.54
Ir1 0.3624 0.7500 0.4620 (multiplicity 2)  5 Si 2.43-2.54

=====

Material: Er5Si10Ir4
Method: DFT, PBE-GGA
State: optimized geometry

Values from the calculation:
total magnetic moment: 0.000 μB per formula unit
uncorrected energy: -129.5 eV per formula unit
formation energy without anion corrections: -0.893 eV per atom
calculated volume: 337 Å³/f.u.
N(E_F): 16.39 states/eV/cell

abc: 12.6025 12.6025 4.2390
angles: 90.00 90.00 90.00
Last column: nearest neighbours and their distance in Å.
Space group P4/mbm (No. 127)
Symmetry-distinct sites (fractional):
Er1 0.0000 0.0000 0.0000 (multiplicity 2)  8 Si 2.89, 4 Ir 3.10
Er2 0.1145 0.3855 0.5000 (multiplicity 4)  10 Si 3.17-3.24, 4 Ir 3.24
Er3 0.1750 0.6750 0.5000 (multiplicity 4)  8 Si 2.87-3.05, 4 Ir 3.05
Si1 0.0020 0.8439 0.5000 (multiplicity 8)  2 Ir 2.41
Si2 0.0661 0.5661 0.0000 (multiplicity 4)  1 Si 2.36, 2 Ir 2.45
Si3 0.1645 0.2012 0.0000 (multiplicity 8)  2 Ir 2.39-2.50, 1 Si 2.39
Ir1 0.0199 0.7550 0.0000 (multiplicity 8)  5 Si 2.39-2.50

=====

- The lowest formation energy without anion corrections belongs to which entry?
  Er3Si2Ir5